1.
First-principles (PBE-GGA) data for La4CoAsCl2 after structural relaxation, as listed in Alexandria.

The value obtained for the energy relative to the elements, uncorrected is -1.2492 eV per atom. The value obtained for the magnetization is 0.0000 μB per atom. As for the electronic total energy: -5.644 eV per atom.

The space group is P2/m (No. 10) and the conventional cell measures 7.5423, 4.0619 and 7.6645 Å, with angles of 90.00, 108.50 and 90.00 degrees. The asymmetric unit holds La at (0.2029, 0.0000, 0.2090), La at (0.2330, 0.5000, 0.7488), Co at (0.0000, 0.5000, 0.0000), As at (0.0000, 0.0000, 0.5000), Cl at (0.5000, 0.0000, 0.0000) and Cl at (0.5000, 0.5000, 0.5000).

2.
First-principles (PBE-GGA) data for Ca2Hg2H4Ir after structural relaxation, as listed in Alexandria.

The value obtained for the magnetization is 0.0000 μB per atom. As for the electronic total energy: -3.219 eV per atom.

The space group is I4/mmm (No. 139) and the conventional cell measures 5.9760, 5.9760 and 8.0186 Å, with angles of 90.00, 90.00 and 90.00 degrees. The asymmetric unit holds Ca at (0.0000, 0.5000, 0.2500), Hg at (0.0000, 0.0000, 0.1644), H at (0.2024, 0.2024, 0.5000) and Ir at (0.0000, 0.0000, 0.5000).

3.
First-principles (PBE-GGA) data for RbMn2NbBr8 after structural relaxation, as listed in Alexandria.

The value obtained for the energy relative to the elements, uncorrected is -0.8270 eV per atom. The value obtained for the magnetization is 1.0000 μB per atom. As for the electronic total energy: -4.390 eV per atom.

The space group is R32 (No. 155, hexagonal axes) and the conventional cell measures 6.6713, 6.6713 and 33.0196 Å, with angles of 90.00, 90.00 and 120.00 degrees. The asymmetric unit holds Rb at (0.0000, 0.0000, 0.0000), Mn at (0.0000, 0.0000, 0.2413), Nb at (0.0000, 0.0000, 0.5000), Br at (0.0000, 0.0000, 0.3148) and Br at (0.0135, 0.3698, 0.2196).